(1)
Entry from Alexandria: a geometry-optimized NaMnP2S structure (PBE-GGA).

Lattice parameters (Å, degrees): 4.771 4.771 4.680 90.00 90.00 90.00
Atoms (fractional coordinates):
Na1 0.000 0.000 0.000
Mn1 0.500 0.500 0.500
P1 0.000 0.500 0.000
P2 0.500 0.000 0.000
S1 0.000 0.000 0.500

Formation energy without anion corrections in eV/atom: 1.8492
DOS at the Fermi energy in states/eV/atom: 1.20
Polymorph energy (0 for the lowest one) in meV per atom: 1825

---

(2)
Entry from Alexandria: a geometry-optimized NaMnPS4 structure (PBE-GGA).

Lattice parameters (Å, degrees): 5.998 6.740 8.053 90.00 98.55 90.00
Atoms (fractional coordinates):
Na1 0.177 0.250 0.022
Na2 0.823 0.750 0.978
Mn1 0.169 0.250 0.512
Mn2 0.831 0.750 0.488
P1 0.246 0.750 0.297
P2 0.754 0.250 0.703
S1 0.011 0.514 0.289
S2 0.011 0.986 0.289
S3 0.382 0.750 0.087
S4 0.443 0.750 0.526
S5 0.557 0.250 0.474
S6 0.618 0.250 0.913
S7 0.989 0.014 0.711
S8 0.989 0.486 0.711

Formation energy without anion corrections in eV/atom: -0.5128

---

(3)
Entry from Alexandria: a geometry-optimized NaMnP2S structure (PBE-GGA).

Lattice parameters (Å, degrees): 4.298 4.298 5.260 90.00 90.00 90.00
Atoms (fractional coordinates):
Na1 0.000 0.000 0.000
Mn1 0.500 0.500 0.500
P1 0.000 0.500 0.500
P2 0.500 0.000 0.500
S1 0.500 0.500 0.000

Formation energy without anion corrections in eV/atom: 0.0247
DOS at the Fermi energy in states/eV/atom: 0.37
Polymorph energy (0 for the lowest one) in meV per atom: 0

---

(4)
Entry from Alexandria: a geometry-optimized Na2MnPSe5 structure (PBE-GGA).

Lattice parameters (Å, degrees): 9.079 9.079 12.540 90.00 90.00 154.63
Atoms (fractional coordinates):
Na1 0.119 0.881 0.500
Na2 0.121 0.879 0.838
Na3 0.879 0.121 0.338
Na4 0.881 0.119 0.000
Mn1 0.212 0.788 0.215
Mn2 0.788 0.212 0.715
P1 0.428 0.572 0.603
P2 0.572 0.428 0.103
Se1 0.057 0.943 0.199
Se2 0.290 0.710 0.841
Se3 0.302 0.698 0.577
Se4 0.342 0.658 0.173
Se5 0.489 0.511 0.452
Se6 0.511 0.489 0.952
Se7 0.658 0.342 0.673
Se8 0.698 0.302 0.077
Se9 0.710 0.290 0.341
Se10 0.943 0.057 0.699

Formation energy without anion corrections in eV/atom: -0.4866
DOS at the Fermi energy in states/eV/atom: 0.16

---

(5)
Entry from Alexandria: a geometry-optimized NaMnSn2P structure (PBE-GGA).

Lattice parameters (Å, degrees): 5.204 5.204 4.430 90.00 90.00 90.00
Atoms (fractional coordinates):
Na1 0.000 0.000 0.000
Mn1 0.500 0.500 0.500
Sn1 0.000 0.500 0.500
Sn2 0.500 0.000 0.500
P1 0.500 0.500 0.000

DOS at the Fermi energy in states/eV/atom: 0.51
ΔE_f in eV/atom: 0.08

---

(6)
Entry from Alexandria: a geometry-optimized NaMnZnP structure (PBE-GGA).

Lattice parameters (Å, degrees): 3.704 3.704 11.092 90.00 90.00 90.00
Atoms (fractional coordinates):
Na1 0.250 0.250 0.247
Na2 0.750 0.750 0.753
Mn1 0.250 0.750 0.500
Mn2 0.750 0.250 0.500
Zn1 0.250 0.750 0.000
Zn2 0.750 0.250 0.000
P1 0.250 0.250 0.619
P2 0.750 0.750 0.381

DOS at the Fermi energy in states/eV/atom: 0.54
ΔE_f in eV/atom: -0.26